No. 1
{"formula": "La4Tb2Sm2Dy", "functional": "PBE-GGA", "state": "relaxed", "cell": [[7.763, -2.592, 0.000], [7.763, 2.592, 0.000], [-2.594, 0.000, 7.726]], "species": ["La", "La", "La", "La", "Tb", "Tb", "Sm", "Sm", "Dy"], "frac_coords": [[0.054, 0.054, 0.332], [0.277, 0.277, 0.667], [0.723, 0.723, 0.333], [0.946, 0.946, 0.668], [0.389, 0.389, 0.330], [0.611, 0.611, 0.670], [0.167, 0.167, 0.000], [0.833, 0.833, 0.000], [0.500, 0.500, 0.000]], "total_energy_ev_per_atom": -4.755, "ef_mev_per_atom": 24, "magmom_total_mub_per_cell": 0.000, "sg": "No. 12", "volume_a3_per_cell": 311}

***

No. 2
{"formula": "Tl2BTe", "functional": "PBE-GGA", "state": "relaxed", "cell": [[0.000, 3.796, 3.796], [3.796, 0.000, 3.796], [3.796, 3.796, 0.000]], "species": ["Tl", "Tl", "B", "Te"], "frac_coords": [[0.250, 0.250, 0.250], [0.750, 0.750, 0.750], [0.000, 0.000, 0.000], [0.500, 0.500, 0.500]], "total_energy_ev_per_atom": -2.633, "raw_formation_energy_ev_per_atom": 1.01, "de_polymorph_kj_per_mol_atoms": 44.98, "magmom_total_mub_per_cell": 0.803, "sg": "No. 225", "volume_a3_per_cell": 109}

***

No. 3
{"formula": "K2RbInAs", "functional": "PBE-GGA", "state": "relaxed", "cell": [[6.585, 0.000, 0.000], [0.000, 6.585, 0.000], [0.000, 0.000, 5.580]], "species": ["K", "K", "Rb", "In", "As"], "frac_coords": [[0.000, 0.500, 0.000], [0.500, 0.000, 0.000], [0.000, 0.000, 0.500], [0.500, 0.500, 0.500], [0.500, 0.500, 0.000]], "total_energy_ev_per_atom": -2.204, "ef_mev_per_atom": -94, "magmom_total_mub_per_cell": 0.001, "sg": "No. 123", "volume_a3_per_cell": 242}

***

No. 4
{"formula": "LaGdRu4", "functional": "PBE-GGA", "state": "relaxed", "cell": [[0.000, 3.826, 3.826], [3.826, 0.000, 3.826], [3.826, 3.826, 0.000]], "species": ["La", "Gd", "Ru", "Ru", "Ru", "Ru"], "frac_coords": [[0.000, 0.000, 0.000], [0.750, 0.750, 0.750], [0.375, 0.375, 0.375], [0.375, 0.375, 0.874], [0.375, 0.874, 0.375], [0.874, 0.375, 0.375]], "total_energy_ev_per_atom": -9.528, "ef_mev_per_atom": -176, "magmom_total_mub_per_cell": 6.578, "sg": "No. 216", "volume_a3_per_cell": 112}